First-principles (PBE) data for a geometry-optimized MoPb2Cl structure, as listed in the Alexandria database.

Results
Energy relative to the elements, uncorrected: 0.6471 eV per atom
E_tot: -17.506 eV/cell

a b c (Å): 5.2434 5.2434 5.2434
angles (deg): 60.00 60.00 60.00
Atoms (fractional coordinates):
Mo 0.0000 0.0000 0.0000
Pb 0.2500 0.2500 0.2500
Pb 0.5000 0.5000 0.5000
Cl 0.7500 0.7500 0.7500